DFT (PBE) results for crystalline Cd3Pt2Au4 at its relaxed geometry.

a b c (Å): 13.3779 10.0077 5.0384
angles (deg): 90.00 100.49 90.00
With the nearest neighbours (Å) after each atom.
Space group C2/c (No. 15)
One atom of each set of equivalent atoms:
Cd 0.0000 0.1169 0.2500 (multiplicity 4)  6 Pt 2.85-2.92, 4 Au 2.88-2.96
Cd 0.1700 0.3702 0.0797 (multiplicity 8)  2 Pt 2.83-2.90, 8 Au 2.90-2.98
Pt 0.1095 0.1287 0.8059 (multiplicity 8)  5 Cd 2.83-2.92, 4 Au 2.85-2.95, 1 Pt 2.88
Au 0.0544 0.3735 0.5298 (multiplicity 8)  1 Pt 2.85, 4 Au 2.87-2.99, 5 Cd 2.92-2.98
Au 0.2187 0.1201 0.3707 (multiplicity 8)  3 Pt 2.85-2.95, 5 Cd 2.88-2.93, 2 Au 2.96-2.99

Properties
Electronic total energy, eV for the cell shown: -116.86